Record 1
# PmSmHo6, relaxed, DFT PBE
data_PmSmHo6
_cell_length_a 5.022
_cell_length_b 5.022
_cell_length_c 10.044
_cell_angle_alpha 90.00
_cell_angle_beta 90.00
_cell_angle_gamma 90.00
_symmetry_space_group_name_H-M 'P 1'
_symmetry_Int_Tables_number 1
loop_
_symmetry_equiv_pos_as_xyz
'x,y,z'
loop_
_atom_site_label
_atom_site_fract_x
_atom_site_fract_y
_atom_site_fract_z
Pm1 0.000 0.000 0.000
Sm1 0.000 0.000 0.500
Ho1 0.000 0.500 0.250
Ho2 0.000 0.500 0.750
Ho3 0.500 0.000 0.250
Ho4 0.500 0.000 0.750
Ho5 0.500 0.500 0.000
Ho6 0.500 0.500 0.500
# * relative energy among the computed polymorphs: 0.00 kcal/mol of atoms
# * E_form: 0.02 eV per atom
# * uncorrected energy: -4.60 eV/atom


Record 2
# Pm2SmHo6, relaxed, DFT PBE
data_Pm2SmHo6
_cell_length_a 9.760
_cell_length_b 9.760
_cell_length_c 3.491
_cell_angle_alpha 100.25
_cell_angle_beta 100.25
_cell_angle_gamma 63.64
_symmetry_space_group_name_H-M 'P 1'
_symmetry_Int_Tables_number 1
loop_
_symmetry_equiv_pos_as_xyz
'x,y,z'
loop_
_atom_site_label
_atom_site_fract_x
_atom_site_fract_y
_atom_site_fract_z
Pm1 0.157 0.157 0.156
Pm2 0.843 0.843 0.844
Sm1 0.500 0.500 0.000
Ho1 0.156 0.489 0.821
Ho2 0.186 0.814 0.500
Ho3 0.489 0.156 0.821
Ho4 0.511 0.844 0.179
Ho5 0.814 0.186 0.500
Ho6 0.844 0.511 0.179
# * relative energy among the computed polymorphs: 0.00 kcal/mol of atoms
# * E_form: 0.11 eV per atom
# * uncorrected energy: -4.53 eV/atom


Record 3
# Pm12SmHo2, relaxed, DFT PBE
data_Pm12SmHo2
_cell_length_a 6.516
_cell_length_b 6.516
_cell_length_c 25.477
_cell_angle_alpha 90.00
_cell_angle_beta 90.00
_cell_angle_gamma 90.00
_symmetry_space_group_name_H-M 'P 1'
_symmetry_Int_Tables_number 1
loop_
_symmetry_equiv_pos_as_xyz
'x,y,z'
loop_
_atom_site_label
_atom_site_fract_x
_atom_site_fract_y
_atom_site_fract_z
Pm1 0.067 0.567 0.115
Pm2 0.067 0.933 0.885
Pm3 0.082 0.582 0.438
Pm4 0.082 0.918 0.562
Pm5 0.250 0.250 0.216
Pm6 0.250 0.250 0.338
Pm7 0.250 0.250 0.662
Pm8 0.250 0.250 0.784
Pm9 0.418 0.582 0.562
Pm10 0.418 0.918 0.438
Pm11 0.433 0.567 0.885
Pm12 0.433 0.933 0.115
Pm13 0.567 0.067 0.885
Pm14 0.567 0.433 0.115
Pm15 0.582 0.082 0.562
Pm16 0.582 0.418 0.438
Pm17 0.750 0.750 0.216
Pm18 0.750 0.750 0.338
Pm19 0.750 0.750 0.662
Pm20 0.750 0.750 0.784
Pm21 0.918 0.082 0.438
Pm22 0.918 0.418 0.562
Pm23 0.933 0.067 0.115
Pm24 0.933 0.433 0.885
Sm1 0.250 0.750 0.000
Sm2 0.750 0.250 0.000
Ho1 0.250 0.750 0.274
Ho2 0.250 0.750 0.726
Ho3 0.750 0.250 0.274
Ho4 0.750 0.250 0.726
# * E_form: 0.31 eV per atom
# * uncorrected energy: -4.41 eV/atom


Record 4
# Pm6SmHo4, relaxed, DFT PBE
data_Pm6SmHo4
_cell_length_a 8.656
_cell_length_b 8.656
_cell_length_c 8.656
_cell_angle_alpha 128.49
_cell_angle_beta 128.49
_cell_angle_gamma 75.83
_symmetry_space_group_name_H-M 'P 1'
_symmetry_Int_Tables_number 1
loop_
_symmetry_equiv_pos_as_xyz
'x,y,z'
loop_
_atom_site_label
_atom_site_fract_x
_atom_site_fract_y
_atom_site_fract_z
Pm1 0.000 0.500 0.500
Pm2 0.040 0.585 0.000
Pm3 0.415 0.415 0.455
Pm4 0.500 0.000 0.500
Pm5 0.585 0.040 0.000
Pm6 0.960 0.960 0.545
Sm1 0.000 0.000 0.000
Ho1 0.256 0.256 0.674
Ho2 0.418 0.744 0.000
Ho3 0.582 0.582 0.326
Ho4 0.744 0.418 0.000
# * relative energy among the computed polymorphs: 5.90 kcal/mol of atoms
# * E_form: 0.37 eV per atom
# * uncorrected energy: -4.31 eV/atom


Record 5
# Pm6SmHo2, relaxed, DFT PBE
data_Pm6SmHo2
_cell_length_a 3.624
_cell_length_b 8.868
_cell_length_c 9.571
_cell_angle_alpha 90.22
_cell_angle_beta 100.89
_cell_angle_gamma 90.11
_symmetry_space_group_name_H-M 'P 1'
_symmetry_Int_Tables_number 1
loop_
_symmetry_equiv_pos_as_xyz
'x,y,z'
loop_
_atom_site_label
_atom_site_fract_x
_atom_site_fract_y
_atom_site_fract_z
Pm1 0.109 0.165 0.219
Pm2 0.221 0.834 0.442
Pm3 0.334 0.501 0.668
Pm4 0.666 0.499 0.332
Pm5 0.779 0.166 0.558
Pm6 0.891 0.835 0.781
Sm1 0.000 0.500 0.000
Ho1 0.445 0.167 0.890
Ho2 0.555 0.833 0.110
# * relative energy among the computed polymorphs: 0.00 kcal/mol of atoms
# * E_form: 0.02 eV per atom
# * uncorrected energy: -4.69 eV/atom


Record 6
# Pm4Sm3Ho4, relaxed, DFT PBE
data_Pm4Sm3Ho4
_cell_length_a 10.690
_cell_length_b 6.684
_cell_length_c 6.684
_cell_angle_alpha 50.73
_cell_angle_beta 90.00
_cell_angle_gamma 90.00
_symmetry_space_group_name_H-M 'P 1'
_symmetry_Int_Tables_number 1
loop_
_symmetry_equiv_pos_as_xyz
'x,y,z'
loop_
_atom_site_label
_atom_site_fract_x
_atom_site_fract_y
_atom_site_fract_z
Pm1 0.000 0.000 0.000
Pm2 0.210 0.793 0.793
Pm3 0.500 0.923 0.923
Pm4 0.790 0.793 0.793
Sm1 0.000 0.294 0.294
Sm2 0.291 0.449 0.449
Sm3 0.709 0.449 0.449
Ho1 0.000 0.593 0.593
Ho2 0.301 0.143 0.143
Ho3 0.500 0.652 0.652
Ho4 0.699 0.143 0.143
# * relative energy among the computed polymorphs: 0.00 kcal/mol of atoms
# * E_form: 0.15 eV per atom
# * uncorrected energy: -4.53 eV/atom


Record 7
# Pm4Sm2Ho, relaxed, DFT PBE
data_Pm4Sm2Ho
_cell_length_a 7.232
_cell_length_b 7.232
_cell_length_c 5.997
_cell_angle_alpha 90.00
_cell_angle_beta 90.00
_cell_angle_gamma 129.83
_symmetry_space_group_name_H-M 'P 1'
_symmetry_Int_Tables_number 1
loop_
_symmetry_equiv_pos_as_xyz
'x,y,z'
loop_
_atom_site_label
_atom_site_fract_x
_atom_site_fract_y
_atom_site_fract_z
Pm1 0.138 0.862 0.000
Pm2 0.309 0.691 0.500
Pm3 0.691 0.309 0.500
Pm4 0.862 0.138 0.000
Sm1 0.391 0.609 0.000
Sm2 0.609 0.391 0.000
Ho1 0.000 0.000 0.500
# * relative energy among the computed polymorphs: 6.66 kcal/mol of atoms
# * E_form: 0.44 eV per atom
# * uncorrected energy: -4.28 eV/atom


Record 8
# Pm6SmHo3, relaxed, DFT PBE
data_Pm6SmHo3
_cell_length_a 11.739
_cell_length_b 11.739
_cell_length_c 6.446
_cell_angle_alpha 90.00
_cell_angle_beta 90.00
_cell_angle_gamma 130.67
_symmetry_space_group_name_H-M 'P 1'
_symmetry_Int_Tables_number 1
loop_
_symmetry_equiv_pos_as_xyz
'x,y,z'
loop_
_atom_site_label
_atom_site_fract_x
_atom_site_fract_y
_atom_site_fract_z
Pm1 0.015 0.985 0.500
Pm2 0.107 0.544 0.981
Pm3 0.261 0.380 0.733
Pm4 0.301 0.699 0.509
Pm5 0.380 0.261 0.233
Pm6 0.456 0.893 0.981
Pm7 0.544 0.107 0.481
Pm8 0.620 0.739 0.733
Pm9 0.699 0.301 0.009
Pm10 0.739 0.620 0.233
Pm11 0.893 0.456 0.481
Pm12 0.985 0.015 0.000
Sm1 0.158 0.842 0.297
Sm2 0.842 0.158 0.797
Ho1 0.042 0.294 0.320
Ho2 0.294 0.042 0.820
Ho3 0.419 0.581 0.212
Ho4 0.581 0.419 0.712
Ho5 0.706 0.958 0.320
Ho6 0.958 0.706 0.820
# * relative energy among the computed polymorphs: 0.00 kcal/mol of atoms
# * E_form: 0.13 eV per atom
# * uncorrected energy: -4.57 eV/atom


Record 9
# Pm4Sm15Ho, relaxed, DFT PBE
data_Pm4Sm15Ho
_cell_length_a 5.131
_cell_length_b 5.131
_cell_length_c 25.651
_cell_angle_alpha 90.00
_cell_angle_beta 90.00
_cell_angle_gamma 90.00
_symmetry_space_group_name_H-M 'P 1'
_symmetry_Int_Tables_number 1
loop_
_symmetry_equiv_pos_as_xyz
'x,y,z'
loop_
_atom_site_label
_atom_site_fract_x
_atom_site_fract_y
_atom_site_fract_z
Pm1 0.000 0.000 0.100
Pm2 0.000 0.000 0.301
Pm3 0.000 0.000 0.699
Pm4 0.000 0.000 0.900
Sm1 0.000 0.500 0.000
Sm2 0.000 0.500 0.201
Sm3 0.000 0.500 0.401
Sm4 0.000 0.500 0.599
Sm5 0.000 0.500 0.799
Sm6 0.500 0.000 0.000
Sm7 0.500 0.000 0.201
Sm8 0.500 0.000 0.401
Sm9 0.500 0.000 0.599
Sm10 0.500 0.000 0.799
Sm11 0.500 0.500 0.100
Sm12 0.500 0.500 0.301
Sm13 0.500 0.500 0.500
Sm14 0.500 0.500 0.699
Sm15 0.500 0.500 0.900
Ho1 0.000 0.000 0.500
# * E_form: 0.02 eV per atom
# * uncorrected energy: -4.70 eV/atom


Record 10
# Pm2SmHo8, relaxed, DFT PBE
data_Pm2SmHo8
_cell_length_a 9.405
_cell_length_b 9.405
_cell_length_c 7.954
_cell_angle_alpha 104.70
_cell_angle_beta 104.70
_cell_angle_gamma 31.02
_symmetry_space_group_name_H-M 'P 1'
_symmetry_Int_Tables_number 1
loop_
_symmetry_equiv_pos_as_xyz
'x,y,z'
loop_
_atom_site_label
_atom_site_fract_x
_atom_site_fract_y
_atom_site_fract_z
Pm1 0.227 0.227 0.137
Pm2 0.773 0.773 0.863
Sm1 0.500 0.500 0.500
Ho1 0.045 0.045 0.227
Ho2 0.136 0.136 0.680
Ho3 0.319 0.319 0.592
Ho4 0.410 0.410 0.045
Ho5 0.590 0.590 0.955
Ho6 0.681 0.681 0.408
Ho7 0.864 0.864 0.320
Ho8 0.955 0.955 0.773
# * relative energy among the computed polymorphs: 0.00 kcal/mol of atoms
# * E_form: 0.02 eV per atom
# * uncorrected energy: -4.60 eV/atom


Record 11
# Pm3Sm12Ho, relaxed, DFT PBE
data_Pm3Sm12Ho
_cell_length_a 5.125
_cell_length_b 5.125
_cell_length_c 20.494
_cell_angle_alpha 90.00
_cell_angle_beta 90.00
_cell_angle_gamma 90.00
_symmetry_space_group_name_H-M 'P 1'
_symmetry_Int_Tables_number 1
loop_
_symmetry_equiv_pos_as_xyz
'x,y,z'
loop_
_atom_site_label
_atom_site_fract_x
_atom_site_fract_y
_atom_site_fract_z
Pm1 0.000 0.000 0.000
Pm2 0.000 0.000 0.251
Pm3 0.000 0.000 0.749
Sm1 0.000 0.500 0.126
Sm2 0.000 0.500 0.376
Sm3 0.000 0.500 0.624
Sm4 0.000 0.500 0.874
Sm5 0.500 0.000 0.126
Sm6 0.500 0.000 0.376
Sm7 0.500 0.000 0.624
Sm8 0.500 0.000 0.874
Sm9 0.500 0.500 0.000
Sm10 0.500 0.500 0.251
Sm11 0.500 0.500 0.500
Sm12 0.500 0.500 0.749
Ho1 0.000 0.000 0.500
# * E_form: 0.01 eV per atom
# * uncorrected energy: -4.70 eV/atom


Record 12
# Pm7SmHo3, relaxed, DFT PBE
data_Pm7SmHo3
_cell_length_a 6.560
_cell_length_b 6.764
_cell_length_c 8.746
_cell_angle_alpha 100.00
_cell_angle_beta 98.80
_cell_angle_gamma 96.03
_symmetry_space_group_name_H-M 'P 1'
_symmetry_Int_Tables_number 1
loop_
_symmetry_equiv_pos_as_xyz
'x,y,z'
loop_
_atom_site_label
_atom_site_fract_x
_atom_site_fract_y
_atom_site_fract_z
Pm1 0.000 0.000 0.000
Pm2 0.057 0.712 0.642
Pm3 0.216 0.226 0.709
Pm4 0.485 0.737 0.916
Pm5 0.515 0.263 0.084
Pm6 0.784 0.774 0.291
Pm7 0.943 0.288 0.358
Sm1 0.000 0.500 0.000
Ho1 0.315 0.934 0.336
Ho2 0.500 0.500 0.500
Ho3 0.685 0.066 0.664
# * relative energy among the computed polymorphs: 0.00 kcal/mol of atoms
# * E_form: 0.13 eV per atom
# * uncorrected energy: -4.57 eV/atom


Record 13
# Pm2Sm12Ho, relaxed, DFT PBE
data_Pm2Sm12Ho
_cell_length_a 6.793
_cell_length_b 6.793
_cell_length_c 24.934
_cell_angle_alpha 90.00
_cell_angle_beta 90.00
_cell_angle_gamma 116.33
_symmetry_space_group_name_H-M 'P 1'
_symmetry_Int_Tables_number 1
loop_
_symmetry_equiv_pos_as_xyz
'x,y,z'
loop_
_atom_site_label
_atom_site_fract_x
_atom_site_fract_y
_atom_site_fract_z
Pm1 0.250 0.750 0.234
Pm2 0.250 0.750 0.772
Pm3 0.750 0.250 0.228
Pm4 0.750 0.250 0.766
Sm1 0.001 0.501 0.627
Sm2 0.001 0.999 0.425
Sm3 0.019 0.519 0.083
Sm4 0.023 0.977 0.940
Sm5 0.250 0.250 0.174
Sm6 0.250 0.250 0.301
Sm7 0.250 0.250 0.699
Sm8 0.250 0.250 0.826
Sm9 0.477 0.523 0.940
Sm10 0.481 0.981 0.083
Sm11 0.499 0.501 0.425
Sm12 0.499 0.999 0.627
Sm13 0.501 0.001 0.373
Sm14 0.501 0.499 0.575
Sm15 0.519 0.019 0.917
Sm16 0.523 0.477 0.060
Sm17 0.750 0.750 0.174
Sm18 0.750 0.750 0.301
Sm19 0.750 0.750 0.699
Sm20 0.750 0.750 0.826
Sm21 0.977 0.023 0.060
Sm22 0.981 0.481 0.917
Sm23 0.999 0.001 0.575
Sm24 0.999 0.499 0.373
Ho1 0.250 0.750 0.500
Ho2 0.750 0.250 0.500
# * E_form: 0.16 eV per atom
# * uncorrected energy: -4.56 eV/atom


Record 14
# Pm3Sm2Ho4, relaxed, DFT PBE
data_Pm3Sm2Ho4
_cell_length_a 6.209
_cell_length_b 6.217
_cell_length_c 8.021
_cell_angle_alpha 75.14
_cell_angle_beta 82.54
_cell_angle_gamma 80.52
_symmetry_space_group_name_H-M 'P 1'
_symmetry_Int_Tables_number 1
loop_
_symmetry_equiv_pos_as_xyz
'x,y,z'
loop_
_atom_site_label
_atom_site_fract_x
_atom_site_fract_y
_atom_site_fract_z
Pm1 0.000 0.000 0.000
Pm2 0.111 0.557 0.777
Pm3 0.889 0.443 0.223
Sm1 0.333 0.668 0.333
Sm2 0.667 0.332 0.667
Ho1 0.225 0.110 0.554
Ho2 0.446 0.222 0.112
Ho3 0.554 0.778 0.888
Ho4 0.775 0.890 0.446
# * E_form: 0.02 eV per atom
# * uncorrected energy: -4.65 eV/atom


Record 15
# Pm2Sm3Ho3, relaxed, DFT PBE
data_Pm2Sm3Ho3
_cell_length_a 10.774
_cell_length_b 10.774
_cell_length_c 10.774
_cell_angle_alpha 152.72
_cell_angle_beta 152.70
_cell_angle_gamma 38.98
_symmetry_space_group_name_H-M 'P 1'
_symmetry_Int_Tables_number 1
loop_
_symmetry_equiv_pos_as_xyz
'x,y,z'
loop_
_atom_site_label
_atom_site_fract_x
_atom_site_fract_y
_atom_site_fract_z
Pm1 0.250 0.250 0.000
Pm2 0.750 0.750 0.000
Sm1 0.000 0.000 0.000
Sm2 0.376 0.876 0.500
Sm3 0.624 0.124 0.500
Ho1 0.124 0.624 0.500
Ho2 0.500 0.500 0.000
Ho3 0.876 0.376 0.500
# * relative energy among the computed polymorphs: 0.00 kcal/mol of atoms
# * E_form: 0.02 eV per atom
# * uncorrected energy: -4.66 eV/atom


Record 16
# Pm3Sm2Ho3, relaxed, DFT PBE
data_Pm3Sm2Ho3
_cell_length_a 5.601
_cell_length_b 16.032
_cell_length_c 6.602
_cell_angle_alpha 90.00
_cell_angle_beta 115.06
_cell_angle_gamma 90.00
_symmetry_space_group_name_H-M 'P 1'
_symmetry_Int_Tables_number 1
loop_
_symmetry_equiv_pos_as_xyz
'x,y,z'
loop_
_atom_site_label
_atom_site_fract_x
_atom_site_fract_y
_atom_site_fract_z
Pm1 0.077 0.094 0.153
Pm2 0.077 0.406 0.153
Pm3 0.265 0.250 0.533
Pm4 0.735 0.750 0.467
Pm5 0.923 0.594 0.847
Pm6 0.923 0.906 0.847
Sm1 0.221 0.628 0.441
Sm2 0.221 0.872 0.441
Sm3 0.779 0.128 0.559
Sm4 0.779 0.372 0.559
Ho1 0.380 0.050 0.762
Ho2 0.380 0.450 0.762
Ho3 0.458 0.750 0.917
Ho4 0.542 0.250 0.083
Ho5 0.620 0.550 0.238
Ho6 0.620 0.950 0.238
# * relative energy among the computed polymorphs: 2.59 kcal/mol of atoms
# * E_form: 0.13 eV per atom
# * uncorrected energy: -4.55 eV/atom


Record 17
# Pm5Sm2Ho, relaxed, DFT PBE
data_Pm5Sm2Ho
_cell_length_a 9.702
_cell_length_b 9.702
_cell_length_c 6.656
_cell_angle_alpha 99.68
_cell_angle_beta 99.68
_cell_angle_gamma 62.91
_symmetry_space_group_name_H-M 'P 1'
_symmetry_Int_Tables_number 1
loop_
_symmetry_equiv_pos_as_xyz
'x,y,z'
loop_
_atom_site_label
_atom_site_fract_x
_atom_site_fract_y
_atom_site_fract_z
Pm1 0.061 0.939 0.750
Pm2 0.120 0.289 0.029
Pm3 0.289 0.120 0.529
Pm4 0.311 0.496 0.846
Pm5 0.496 0.311 0.346
Pm6 0.504 0.689 0.654
Pm7 0.689 0.504 0.154
Pm8 0.711 0.880 0.471
Pm9 0.880 0.711 0.971
Pm10 0.939 0.061 0.250
Sm1 0.175 0.659 0.360
Sm2 0.341 0.825 0.140
Sm3 0.659 0.175 0.860
Sm4 0.825 0.341 0.640
Ho1 0.000 0.500 0.500
Ho2 0.500 0.000 0.000
# * relative energy among the computed polymorphs: 3.08 kcal/mol of atoms
# * E_form: 0.15 eV per atom
# * uncorrected energy: -4.57 eV/atom


Record 18
# Pm11Sm4Ho9, relaxed, DFT PBE
data_Pm11Sm4Ho9
_cell_length_a 15.305
_cell_length_b 15.305
_cell_length_c 3.697
_cell_angle_alpha 90.00
_cell_angle_beta 90.00
_cell_angle_gamma 112.83
_symmetry_space_group_name_H-M 'P 1'
_symmetry_Int_Tables_number 1
loop_
_symmetry_equiv_pos_as_xyz
'x,y,z'
loop_
_atom_site_label
_atom_site_fract_x
_atom_site_fract_y
_atom_site_fract_z
Pm1 0.000 0.000 0.000
Pm2 0.045 0.407 0.000
Pm3 0.159 0.841 0.000
Pm4 0.291 0.291 0.000
Pm5 0.366 0.634 0.000
Pm6 0.407 0.045 0.000
Pm7 0.593 0.955 0.000
Pm8 0.634 0.366 0.000
Pm9 0.709 0.709 0.000
Pm10 0.841 0.159 0.000
Pm11 0.955 0.593 0.000
Sm1 0.244 0.446 0.500
Sm2 0.446 0.244 0.500
Sm3 0.554 0.756 0.500
Sm4 0.756 0.554 0.500
Ho1 0.067 0.212 0.500
Ho2 0.163 0.634 0.500
Ho3 0.212 0.067 0.500
Ho4 0.366 0.837 0.500
Ho5 0.500 0.500 0.500
Ho6 0.634 0.163 0.500
Ho7 0.788 0.933 0.500
Ho8 0.837 0.366 0.500
Ho9 0.933 0.788 0.500
# * E_form: 0.06 eV per atom
# * uncorrected energy: -4.62 eV/atom